# SbTe2MoH | the Alexandria database | PBE-GGA | relaxed
data_SbTe2MoH
_space_group_name_H-M_alt 'P 4/m m m'
_space_group_IT_number 123
_space_group_name_Hall '-P 4 2'
_cell_length_a 5.222
_cell_length_b 5.222
_cell_length_c 3.817
_cell_angle_alpha 90.00
_cell_angle_beta 90.00
_cell_angle_gamma 90.00
loop_
_atom_site_label
_atom_site_type_symbol
_atom_site_fract_x
_atom_site_fract_y
_atom_site_fract_z
Sb1 Sb 0.000 0.000 0.000
Te1 Te 0.000 0.500 0.500
Mo1 Mo 0.500 0.500 0.000
H1 H 0.000 0.000 0.500
# energy above the most stable polymorph in this dataset = 0 kJ/mol of formula units